Version P
4
Lattice="3.169 0.007 0.012 -1.008 5.446 0.025 -1.008 -2.356 4.910" Properties=species:S:1:pos:R:3 comment="SCAN BaZr2Os, PBEsol geometry" dos_ef_per_ev_fu=4.056 pbc="T T T"
Ba 0.577 1.548 2.473
Os 1.585 0.004 0.006
Zr -0.504 -1.178 2.455
Zr -0.504 2.723 0.012


Version Q
4
Lattice="-1.262 0.853 2.987 -1.496 -2.992 0.223 7.081 -3.247 3.920" Properties=species:S:1:pos:R:3 comment="SCAN BaZr2Os, PBEsol geometry" dos_ef_per_ev_fu=4.659 pbc="T T T"
Ba 3.854 -1.767 2.133
Os 4.380 -3.711 4.793
Zr 6.816 -3.126 3.773
Zr -0.104 -1.654 2.310


Each structure's energy above the most stable one, in eV/atom: version P 0.565; version Q 0.000.


Version P
5
Lattice="4.827 0.000 0.000 0.000 4.827 0.000 0.000 0.000 4.869" Properties=species:S:1:pos:R:3 comment="SCAN BaTaPS2, PBEsol geometry" dos_ef_per_ev_fu=1.521 pbc="T T T"
P 0.000 0.000 2.434
S 0.000 2.413 0.000
S 2.413 0.000 0.000
Ba 2.413 2.413 2.434
Ta 0.000 0.000 0.000


Version Q
5
Lattice="-1.956 -4.382 -2.411 -0.052 -2.566 4.706 -4.992 1.737 0.892" Properties=species:S:1:pos:R:3 comment="SCAN BaTaPS2, PBEsol geometry" dos_ef_per_ev_fu=3.942 pbc="T T T"
P -0.978 -2.191 -1.206
S -2.496 0.869 0.446
S -0.026 -1.283 2.353
Ba 0.000 0.000 0.000
Ta -3.500 -2.606 1.593


Each structure's energy above the most stable one, in eV/atom: version P 0.000; version Q 2.923.


Version P
5
Lattice="-0.616 -0.990 -6.095 -5.795 -2.022 0.914 -2.131 5.783 -0.724" Properties=species:S:1:pos:R:3 comment="SCAN Ba3SrP, PBEsol geometry" dos_ef_per_ev_fu=4.306 pbc="T T T"
Sr 0.000 0.000 0.000
Ba -2.898 -1.011 0.457
Ba -1.066 2.891 -0.362
Ba -0.308 -0.495 -3.047
P -4.271 1.386 -2.952


Version Q
5
Lattice="-2.106 1.812 -5.708 -3.035 -5.539 -0.639 -5.163 2.517 2.704" Properties=species:S:1:pos:R:3 comment="SCAN Ba3SrP, PBEsol geometry" dos_ef_per_ev_fu=4.780 pbc="T T T"
Sr -5.152 -0.605 -1.822
Ba -1.518 -2.770 -0.320
Ba -2.582 1.259 1.352
Ba -1.053 0.906 -2.854
P 0.000 0.000 0.000


Each structure's energy above the most stable one, in eV/atom: version P 1.407; version Q 0.000.


Version P
4
Lattice="5.206 0.000 0.000 2.603 4.508 0.000 2.603 1.503 4.250" Properties=species:S:1:pos:R:3 comment="SCAN BaSrP2, PBEsol geometry" dos_ef_per_ev_fu=1.973 pbc="T T T"
Ba 5.206 3.005 2.125
P 0.000 0.000 0.000
P 7.808 4.508 3.188
Sr 2.603 1.503 1.063


Version Q
4
Lattice="4.353 0.000 0.000 0.000 4.727 0.004 -2.176 -0.805 5.414" Properties=species:S:1:pos:R:3 comment="SCAN BaSrP2, PBEsol geometry" dos_ef_per_ev_fu=0.061 pbc="T T T"
Sr 2.176 2.893 0.031
Ba 0.000 0.325 2.629
P 2.176 -0.566 4.988
P 2.176 2.827 3.186


Each structure's energy above the most stable one, in eV/atom: version P 0.927; version Q 0.000.


Version P
4
Lattice="3.859 0.000 0.000 -1.930 3.797 -0.012 0.000 -1.145 6.049" Properties=species:S:1:pos:R:3 comment="SCAN BaTcP2, PBEsol geometry" dos_ef_per_ev_fu=1.921 pbc="T T T"
Ba 0.000 0.784 4.537
P 1.930 3.413 0.505
P 1.930 1.974 2.279
Tc 1.930 -0.296 1.727


Version Q
4
Lattice="-2.846 1.031 -0.640 -0.988 -3.368 -1.035 -2.173 -1.559 7.151" Properties=species:S:1:pos:R:3 comment="SCAN BaTcP2, PBEsol geometry" dos_ef_per_ev_fu=2.883 pbc="T T T"
Ba -3.592 -2.371 4.675
P -0.079 -0.057 0.260
P -2.706 -1.735 1.760
Tc -0.716 -0.514 2.357


Each structure's energy above the most stable one, in eV/atom: version P 0.000; version Q 0.481.


Version P
4
Lattice="4.249 0.000 0.000 0.000 4.249 0.000 -2.125 -2.125 5.414" Properties=species:S:1:pos:R:3 comment="SCAN BaYP2, PBEsol geometry" dos_ef_per_ev_fu=1.678 pbc="T T T"
Ba 0.000 2.125 2.707
P 0.000 0.000 0.000
P 2.125 0.000 2.707
Y 2.125 2.125 0.000


Version Q
4
Lattice="-3.861 0.556 3.139 0.516 -1.183 4.838 0.091 3.613 3.465" Properties=species:S:1:pos:R:3 comment="SCAN BaYP2, PBEsol geometry" dos_ef_per_ev_fu=2.773 pbc="T T T"
Ba -1.627 1.493 5.721
P 0.000 0.000 0.000
P -2.441 2.239 8.581
Y -0.814 0.746 2.860


Each structure's energy above the most stable one, in eV/atom: version P 0.000; version Q 0.607.